(1)
Entry from OQMD: an optimized crystal structure of Li3SmHo2Sn3 (PBE).

```
Li3SmHo2Sn3
1.0
4.7057 0.0000 0.0000
-2.3529 4.0753 0.0000
0.0000 0.0000 10.9323
Li Sm Ho Sn
3 1 2 3
Direct
0.0000 0.0000 0.0000
0.3333 0.6667 0.3035
0.3333 0.6667 0.6965
0.6667 0.3333 0.5000
0.6667 0.3333 0.1618
0.6667 0.3333 0.8382
0.0000 0.0000 0.3226
0.0000 0.0000 0.6774
0.3333 0.6667 0.0000
```

(2)
Entry from OQMD: an optimized crystal structure of LiHoSn (PBE).

```
LiHoSn
1.0
0.0000 3.2639 3.2639
3.2639 0.0000 3.2639
3.2639 3.2639 0.0000
Li Ho Sn
1 1 1
Direct
0.0000 0.0000 0.0000
0.7500 0.7500 0.7500
0.2500 0.2500 0.2500
```

(3)
Entry from OQMD: an optimized crystal structure of Li3TbHo2Sn3 (PBE).

```
Li3TbHo2Sn3
1.0
4.7174 0.0000 0.0000
-2.3587 4.0854 0.0000
0.0000 0.0000 10.7185
Li Tb Ho Sn
3 1 2 3
Direct
0.0000 0.0000 0.0000
0.3333 0.6667 0.3102
0.3333 0.6667 0.6898
0.6667 0.3333 0.5000
0.6667 0.3333 0.1643
0.6667 0.3333 0.8357
0.0000 0.0000 0.3271
0.0000 0.0000 0.6729
0.3333 0.6667 0.0000
```

(4)
Entry from OQMD: an optimized crystal structure of Li3Tb2HoSn3 (PBE).

```
Li3Tb2HoSn3
1.0
4.7355 0.0000 0.0000
-2.3678 4.1011 0.0000
0.0000 0.0000 10.6932
Li Tb Ho Sn
3 2 1 3
Direct
0.0000 0.0000 0.0000
0.3333 0.6667 0.3102
0.3333 0.6667 0.6898
0.6667 0.3333 0.1662
0.6667 0.3333 0.8338
0.6667 0.3333 0.5000
0.0000 0.0000 0.3325
0.0000 0.0000 0.6675
0.3333 0.6667 0.0000
```

(5)
Entry from OQMD: an optimized crystal structure of SrLiHoTe3 (PBE).

```
SrLiHoTe3
1.0
9.5646 -2.2058 0.0000
9.5646 2.2058 0.0000
-2.2008 0.0000 8.9406
Sr Li Ho Te
2 2 2 6
Direct
0.1328 0.1328 0.0682
0.8672 0.8672 0.9318
0.4822 0.4822 0.2960
0.5178 0.5178 0.7040
0.1660 0.1660 0.5862
0.8340 0.8340 0.4138
0.0000 0.0000 0.5000
0.3219 0.3219 0.1777
0.3316 0.3316 0.6446
0.5000 0.5000 0.0000
0.6684 0.6684 0.3554
0.6781 0.6781 0.8223
```

(6)
Entry from OQMD: an optimized crystal structure of SrLiHoTe3 (PBE).

```
SrLiHoTe3
1.0
2.2139 -7.2996 0.0000
2.2139 7.2996 0.0000
0.0000 0.0000 11.3755
Sr Li Ho Te
2 2 2 6
Direct
0.2460 0.7540 0.7500
0.7540 0.2460 0.2500
0.4753 0.5247 0.2500
0.5247 0.4753 0.7500
0.0000 0.0000 0.0000
0.0000 0.0000 0.5000
0.0828 0.9172 0.2500
0.3604 0.6396 0.0610
0.3604 0.6396 0.4390
0.6396 0.3604 0.5610
0.6396 0.3604 0.9390
0.9172 0.0828 0.7500
```

(7)
Entry from OQMD: an optimized crystal structure of SrLiHoTe3 (PBE).

```
SrLiHoTe3
1.0
14.7305 0.0000 0.0000
0.0000 4.4219 0.0000
0.0000 0.0000 11.5860
Sr Li Ho Te
4 4 4 12
Direct
0.2241 0.2500 0.0395
0.2759 0.7500 0.5395
0.7241 0.2500 0.4605
0.7759 0.7500 0.9605
0.0067 0.7500 0.0903
0.4933 0.2500 0.5903
0.5067 0.7500 0.4097
0.9933 0.2500 0.9097
0.0158 0.2500 0.3322
0.4842 0.7500 0.8322
0.5158 0.2500 0.1678
0.9842 0.7500 0.6678
0.1034 0.7500 0.8840
0.1083 0.2500 0.5692
0.1460 0.7500 0.2513
0.3540 0.2500 0.7513
0.3917 0.7500 0.0692
0.3966 0.2500 0.3840
0.6034 0.7500 0.6160
0.6083 0.2500 0.9308
0.6460 0.7500 0.2487
0.8540 0.2500 0.7487
0.8917 0.7500 0.4308
0.8966 0.2500 0.1160
```

(8)
Entry from OQMD: an optimized crystal structure of LiHoTa (PBE).

```
LiHoTa
1.0
0.0000 3.3689 3.3689
3.3689 0.0000 3.3689
3.3689 3.3689 0.0000
Li Ho Ta
1 1 1
Direct
0.0000 0.0000 0.0000
0.2500 0.2500 0.2500
0.5000 0.5000 0.5000
```

In order of appearance, DFT total energy = -37.16; -11.80; -37.01; -37.08; -52.16; -52.21; -104.20; -13.64 eV/cell.